Entry 1:
VASP calculation (GGA-PBE) on Pr2HoOs after structural relaxation.

Calculated values
ΔE_f: 431 meV per atom
Symmetry: No. 166
E: -0.43444 Ry per atom
Excess energy over the best structure of this formula in the dataset: 554.4 meV per atom

a b c (Å): 3.610 3.610 11.133
angles (deg): 80.67 80.67 60.00
Element x y z (fractional)
Pr: 0.106 0.106 0.683
Pr: 0.894 0.894 0.317
Os: 0.500 0.500 0.500
Ho: 0.000 0.000 0.000



Entry 2:
VASP calculation (GGA-PBE) on PrHoOs after structural relaxation.

Calculated values
ΔE_f: -112 meV per atom
Symmetry: No. 107
E: -0.51257 Ry per atom
Excess energy over the best structure of this formula in the dataset: 0.0 meV per atom

a b c (Å): 3.447 3.447 7.208
angles (deg): 103.83 103.83 90.00
Element x y z (fractional)
Pr: 0.040 0.040 0.079
Os: 0.672 0.672 0.343
Ho: 0.289 0.289 0.577



Entry 3:
VASP calculation (GGA-PBE) on PrHoOs after structural relaxation.

Calculated values
ΔE_f: -101 meV per atom
Symmetry: No. 216
E: -0.51180 Ry per atom
Excess energy over the best structure of this formula in the dataset: 10.5 meV per atom

a b c (Å): 4.863 4.863 4.863
angles (deg): 60.00 60.00 60.00
Element x y z (fractional)
Pr: 0.500 0.500 0.500
Os: 0.250 0.250 0.250
Ho: 0.000 0.000 0.000